The following is a DFT calculation (GGA-PBE) of DyTm3H8 after structural relaxation.

The space group is Pm-3m (No. 221) and the conventional cell measures 5.093, 5.093 and 5.093 Å, with angles of 90.00, 90.00 and 90.00 degrees. Symmetry generates all atoms from Dy at (0.000, 0.000, 0.000), Tm at (0.000, 0.500, 0.500) and H at (0.253, 0.253, 0.253).

The total energy is -4.46 eV/atom.